[1]
{"formula": "Re2PIr", "functional": "PBE", "state": "relaxed", "lattice": [[3.6959, 0.0000, 0.0000], [0.0000, 3.6959, 0.0000], [0.0000, 0.0000, 4.2430]], "species": ["Re", "Re", "P", "Ir"], "frac_coords": [[0.5000, 0.0000, 0.0000], [0.0000, 0.5000, 0.0000], [0.0000, 0.0000, 0.5000], [0.5000, 0.5000, 0.5000]], "formation_enthalpy_0k_ev_per_atom": 0.49}


[2]
{"formula": "ReP2Ir", "functional": "PBE", "state": "relaxed", "lattice": [[-2.0886, -1.8633, 0.4955], [3.4057, -3.8693, -0.1944], [0.6155, 0.3460, 3.8957]], "species": ["Re", "P", "Ir", "P"], "frac_coords": [[0.5000, 0.0000, 0.5000], [0.0000, 0.0000, 0.0000], [0.0000, 0.5000, 0.5000], [0.5000, 0.5000, 0.0000]], "formation_enthalpy_0k_ev_per_atom": 0.38}


[3]
{"formula": "Re2PIr", "functional": "PBE", "state": "relaxed", "lattice": [[-1.4432, 2.1824, 4.4244], [1.4432, -2.1824, 4.4244], [1.4432, 2.1824, -4.4244]], "species": ["Re", "P", "Ir", "Re"], "frac_coords": [[0.9682, 0.9682, 0.0000], [0.7502, 0.2502, 0.5000], [0.5344, 0.5344, 0.0000], [0.2471, 0.7471, 0.5000]], "formation_enthalpy_0k_ev_per_atom": -0.08}